Compound: BaScCr2
Source: the Alexandria database
Functional: PBE-GGA
Structure: optimized geometry

Computed properties:
Density of states at the Fermi level = 1.223 states/eV/atom
Uncorrected energy = -6.21 eV/atom
Magnetic moment = 0.000 μB per cell
E above lowest polymorph = 53 kJ/mol of formula units
Formation energy = 0.67 eV/atom

Cell: 4.2742 3.3353 7.6487 Å, 64.10 90.00 90.00°
Sites, in units of the cell vectors:
1 Sc 0.5000 0.2500 0.2500
2 Ba 0.5000 0.7500 0.7500
3 Cr 0.0000 0.8847 0.1155
4 Cr 0.0000 0.6153 0.3845